[1]
# AlCd2Pb (PBE, relaxed)
# Energy of formation from the pure elements   0.71 eV/f.u.
# Electronic total energy   -8.574 eV per cell
data_AlCd2Pb
_chemical_formula_sum 'Al1 Cd2 Pb1'
_symmetry_space_group_name_H-M 'P 1'
_symmetry_Int_Tables_number 1
_cell_length_a 5.487
_cell_length_b 3.240
_cell_length_c 5.616
_cell_angle_alpha 81.09
_cell_angle_beta 90.00
_cell_angle_gamma 90.00
loop_
_symmetry_equiv_pos_as_xyz
'x,y,z'
loop_
_atom_site_label
_atom_site_fract_x
_atom_site_fract_y
_atom_site_fract_z
_atom_site_occupancy
Cd1 0.000 0.585 0.515 1
Cd2 0.000 0.915 0.985 1
Pb1 0.500 0.250 0.250 1
Al1 0.500 0.750 0.750 1

***

[2]
# Ni5PdBr12 (PBE, relaxed)
# Electronic total energy   -59.711 eV per cell
# Formation energy (no corrections)   -308 meV/atom
data_Ni5PdBr12
_chemical_formula_sum 'Ni5 Pd1 Br12'
_symmetry_space_group_name_H-M 'P 1'
_symmetry_Int_Tables_number 1
_cell_length_a 6.443
_cell_length_b 6.446
_cell_length_c 13.608
_cell_angle_alpha 89.96
_cell_angle_beta 89.93
_cell_angle_gamma 60.02
loop_
_symmetry_equiv_pos_as_xyz
'x,y,z'
loop_
_atom_site_label
_atom_site_fract_x
_atom_site_fract_y
_atom_site_fract_z
_atom_site_occupancy
Ni1 0.500 0.000 0.500 1
Ni2 0.167 0.667 0.500 1
Ni3 0.833 0.333 0.500 1
Ni4 0.667 0.667 0.000 1
Ni5 0.333 0.333 0.000 1
Br1 0.167 0.333 0.398 1
Br2 0.653 0.347 0.105 1
Br3 0.166 0.000 0.602 1
Br4 0.833 0.667 0.602 1
Br5 0.000 0.653 0.105 1
Br6 0.834 0.000 0.398 1
Br7 0.500 0.667 0.398 1
Br8 0.347 0.000 0.105 1
Br9 0.347 0.653 0.895 1
Br10 0.000 0.347 0.895 1
Br11 0.500 0.333 0.602 1
Br12 0.653 0.000 0.895 1
Pd1 0.000 0.000 0.000 1

***

[3]
# SrCdBi (PBE, relaxed)
# Energy of formation from the pure elements   -1.53 eV/f.u.
# Electronic total energy   -16.013 eV per cell
data_SrCdBi
_chemical_formula_sum 'Sr2 Cd2 Bi2'
_symmetry_space_group_name_H-M 'P 1'
_symmetry_Int_Tables_number 1
_cell_length_a 4.821
_cell_length_b 4.827
_cell_length_c 9.012
_cell_angle_alpha 80.39
_cell_angle_beta 80.44
_cell_angle_gamma 87.38
loop_
_symmetry_equiv_pos_as_xyz
'x,y,z'
loop_
_atom_site_label
_atom_site_fract_x
_atom_site_fract_y
_atom_site_fract_z
_atom_site_occupancy
Bi1 0.463 0.278 0.759 1
Bi2 0.083 0.898 0.288 1
Sr1 0.556 0.371 0.362 1
Sr2 0.990 0.805 0.685 1
Cd1 0.993 0.365 0.023 1
Cd2 0.552 0.810 0.024 1

***

[4]
# B2C (PBE, relaxed)
# Energy of formation from the pure elements   1.30 eV/f.u.
# Electronic total energy   -85.118 eV per cell
data_B2C
_chemical_formula_sum 'B8 C4'
_symmetry_space_group_name_H-M 'P 1'
_symmetry_Int_Tables_number 1
_cell_length_a 4.255
_cell_length_b 4.255
_cell_length_c 9.281
_cell_angle_alpha 57.41
_cell_angle_beta 57.41
_cell_angle_gamma 35.37
loop_
_symmetry_equiv_pos_as_xyz
'x,y,z'
loop_
_atom_site_label
_atom_site_fract_x
_atom_site_fract_y
_atom_site_fract_z
_atom_site_occupancy
C1 0.159 0.159 0.040 1
C2 0.323 0.323 0.838 1
C3 0.172 0.172 0.538 1
C4 0.999 0.999 0.513 1
B1 0.659 0.659 0.148 1
B2 0.986 0.986 0.001 1
B3 0.532 0.532 0.388 1
B4 0.806 0.806 0.740 1
B5 0.513 0.513 0.857 1
B6 0.354 0.354 0.332 1
B7 0.685 0.685 0.629 1
B8 0.813 0.813 0.225 1

***

[5]
# KRbNpCl6 (PBE, relaxed)
# Electronic total energy   -85.410 eV per cell
# Formation energy (no corrections)   -1847 meV/atom
data_KRbNpCl6
_chemical_formula_sum 'K2 Rb2 Np2 Cl12'
_symmetry_space_group_name_H-M 'P 1'
_symmetry_Int_Tables_number 1
_cell_length_a 7.759
_cell_length_b 7.759
_cell_length_c 13.245
_cell_angle_alpha 90.00
_cell_angle_beta 90.00
_cell_angle_gamma 120.00
loop_
_symmetry_equiv_pos_as_xyz
'x,y,z'
loop_
_atom_site_label
_atom_site_fract_x
_atom_site_fract_y
_atom_site_fract_z
_atom_site_occupancy
Cl1 0.053 0.661 0.863 1
Cl2 0.947 0.608 0.363 1
Cl3 0.608 0.661 0.637 1
Cl4 0.392 0.339 0.363 1
Cl5 0.947 0.339 0.137 1
Cl6 0.661 0.608 0.137 1
Cl7 0.339 0.392 0.863 1
Cl8 0.053 0.392 0.637 1
Cl9 0.608 0.947 0.863 1
Cl10 0.392 0.053 0.137 1
Cl11 0.661 0.053 0.363 1
Cl12 0.339 0.947 0.637 1
K1 0.333 0.667 0.250 1
K2 0.667 0.333 0.750 1
Rb1 0.000 0.000 0.500 1
Rb2 0.000 0.000 0.000 1
Np1 0.333 0.667 0.750 1
Np2 0.667 0.333 0.250 1

***

[6]
# SmDyMgGe (PBE, relaxed)
# Energy of formation from the pure elements   -1.44 eV/f.u.
# Electronic total energy   -16.974 eV per cell
data_SmDyMgGe
_chemical_formula_sum 'Sm1 Dy1 Mg1 Ge1'
_symmetry_space_group_name_H-M 'P 1'
_symmetry_Int_Tables_number 1
_cell_length_a 5.181
_cell_length_b 5.181
_cell_length_c 5.181
_cell_angle_alpha 60.00
_cell_angle_beta 60.00
_cell_angle_gamma 60.00
loop_
_symmetry_equiv_pos_as_xyz
'x,y,z'
loop_
_atom_site_label
_atom_site_fract_x
_atom_site_fract_y
_atom_site_fract_z
_atom_site_occupancy
Mg1 0.000 0.000 0.000 1
Sm1 0.750 0.750 0.750 1
Dy1 0.250 0.250 0.250 1
Ge1 0.500 0.500 0.500 1

***

[7]
# ZrTeCl2 (PBE, relaxed)
# Electronic total energy   -16.680 eV per cell
# Formation energy (no corrections)   -324 meV/atom
data_ZrTeCl2
_chemical_formula_sum 'Zr1 Te1 Cl2'
_symmetry_space_group_name_H-M 'P 1'
_symmetry_Int_Tables_number 1
_cell_length_a 4.964
_cell_length_b 4.964
_cell_length_c 4.964
_cell_angle_alpha 60.00
_cell_angle_beta 60.00
_cell_angle_gamma 60.00
loop_
_symmetry_equiv_pos_as_xyz
'x,y,z'
loop_
_atom_site_label
_atom_site_fract_x
_atom_site_fract_y
_atom_site_fract_z
_atom_site_occupancy
Te1 0.000 0.000 0.000 1
Cl1 0.750 0.750 0.750 1
Cl2 0.250 0.250 0.250 1
Zr1 0.500 0.500 0.500 1

***

[8]
# ZrZn2Ge2 (PBE, relaxed)
# Energy of formation from the pure elements   -1.66 eV/f.u.
# Electronic total energy   -43.972 eV per cell
data_ZrZn2Ge2
_chemical_formula_sum 'Zr2 Zn4 Ge4'
_symmetry_space_group_name_H-M 'P 1'
_symmetry_Int_Tables_number 1
_cell_length_a 3.857
_cell_length_b 3.850
_cell_length_c 11.585
_cell_angle_alpha 90.00
_cell_angle_beta 99.58
_cell_angle_gamma 90.00
loop_
_symmetry_equiv_pos_as_xyz
'x,y,z'
loop_
_atom_site_label
_atom_site_fract_x
_atom_site_fract_y
_atom_site_fract_z
_atom_site_occupancy
Zr1 0.346 0.250 0.691 1
Zr2 0.654 0.750 0.309 1
Ge1 0.875 0.750 0.750 1
Ge2 0.750 0.250 0.500 1
Ge3 0.125 0.250 0.250 1
Ge4 0.250 0.750 0.500 1
Zn1 0.542 0.250 0.085 1
Zn2 0.458 0.750 0.915 1
Zn3 0.043 0.750 0.086 1
Zn4 0.957 0.250 0.914 1

***

[9]
# ScTiRu (PBE, relaxed)
# Energy of formation from the pure elements   -0.47 eV/f.u.
# Electronic total energy   -23.976 eV per cell
data_ScTiRu
_chemical_formula_sum 'Sc1 Ti1 Ru1'
_symmetry_space_group_name_H-M 'P 1'
_symmetry_Int_Tables_number 1
_cell_length_a 3.112
_cell_length_b 4.479
_cell_length_c 4.600
_cell_angle_alpha 90.00
_cell_angle_beta 109.85
_cell_angle_gamma 90.00
loop_
_symmetry_equiv_pos_as_xyz
'x,y,z'
loop_
_atom_site_label
_atom_site_fract_x
_atom_site_fract_y
_atom_site_fract_z
_atom_site_occupancy
Ru1 0.923 0.000 0.999 1
Ti1 0.654 0.000 0.455 1
Sc1 0.372 0.500 0.895 1

***

[10]
# Cr2AgHg (PBE, relaxed)
# Energy of formation from the pure elements   2.15 eV/f.u.
# Electronic total energy   -20.247 eV per cell
data_Cr2AgHg
_chemical_formula_sum 'Cr2 Ag1 Hg1'
_symmetry_space_group_name_H-M 'P 1'
_symmetry_Int_Tables_number 1
_cell_length_a 4.658
_cell_length_b 4.658
_cell_length_c 3.316
_cell_angle_alpha 90.00
_cell_angle_beta 90.00
_cell_angle_gamma 90.00
loop_
_symmetry_equiv_pos_as_xyz
'x,y,z'
loop_
_atom_site_label
_atom_site_fract_x
_atom_site_fract_y
_atom_site_fract_z
_atom_site_occupancy
Hg1 0.500 0.000 0.500 1
Ag1 0.000 0.500 0.500 1
Cr1 0.500 0.500 0.000 1
Cr2 0.000 0.000 0.000 1

***

[11]
# SrAlTc2 (PBE, relaxed)
# Energy of formation from the pure elements   3.14 eV/f.u.
# Electronic total energy   -23.019 eV per cell
data_SrAlTc2
_chemical_formula_sum 'Sr1 Al1 Tc2'
_symmetry_space_group_name_H-M 'P 1'
_symmetry_Int_Tables_number 1
_cell_length_a 5.464
_cell_length_b 5.464
_cell_length_c 2.670
_cell_angle_alpha 90.00
_cell_angle_beta 90.00
_cell_angle_gamma 113.32
loop_
_symmetry_equiv_pos_as_xyz
'x,y,z'
loop_
_atom_site_label
_atom_site_fract_x
_atom_site_fract_y
_atom_site_fract_z
_atom_site_occupancy
Sr1 0.000 0.500 0.500 1
Al1 0.500 0.000 0.500 1
Tc1 0.000 0.000 0.000 1
Tc2 0.500 0.500 0.000 1

***

[12]
# BaZrSe2N (PBE, relaxed)
# Electronic total energy   -21.095 eV per cell
# Formation energy (no corrections)   934 meV/atom
data_BaZrSe2N
_chemical_formula_sum 'Ba1 Zr1 Se2 N1'
_symmetry_space_group_name_H-M 'P 1'
_symmetry_Int_Tables_number 1
_cell_length_a 5.804
_cell_length_b 5.804
_cell_length_c 4.209
_cell_angle_alpha 90.00
_cell_angle_beta 90.00
_cell_angle_gamma 90.00
loop_
_symmetry_equiv_pos_as_xyz
'x,y,z'
loop_
_atom_site_label
_atom_site_fract_x
_atom_site_fract_y
_atom_site_fract_z
_atom_site_occupancy
N1 0.000 0.000 0.500 1
Se1 0.000 0.500 0.000 1
Se2 0.500 0.000 0.000 1
Zr1 0.500 0.500 0.500 1
Ba1 0.000 0.000 0.000 1

***

[13]
# Pm4PrNd (PBE, relaxed)
# Energy of formation from the pure elements   -0.02 eV/f.u.
# Electronic total energy   -28.574 eV per cell
data_Pm4PrNd
_chemical_formula_sum 'Pm4 Pr1 Nd1'
_symmetry_space_group_name_H-M 'P 1'
_symmetry_Int_Tables_number 1
_cell_length_a 5.190
_cell_length_b 3.656
_cell_length_c 11.605
_cell_angle_alpha 108.37
_cell_angle_beta 90.00
_cell_angle_gamma 90.00
loop_
_symmetry_equiv_pos_as_xyz
'x,y,z'
loop_
_atom_site_label
_atom_site_fract_x
_atom_site_fract_y
_atom_site_fract_z
_atom_site_occupancy
Pm1 0.000 0.331 0.334 1
Pm2 0.500 0.335 0.832 1
Pm3 0.500 0.665 0.168 1
Pm4 0.000 0.669 0.666 1
Pr1 0.000 0.000 0.000 1
Nd1 0.500 0.000 0.500 1

***

[14]
# Cs2ScHgI6 (PBE, relaxed)
# Electronic total energy   -28.717 eV per cell
# Formation energy (no corrections)   -1108 meV/atom
data_Cs2ScHgI6
_chemical_formula_sum 'Cs2 Sc1 Hg1 I6'
_symmetry_space_group_name_H-M 'P 1'
_symmetry_Int_Tables_number 1
_cell_length_a 8.671
_cell_length_b 8.671
_cell_length_c 8.671
_cell_angle_alpha 60.00
_cell_angle_beta 60.00
_cell_angle_gamma 60.00
loop_
_symmetry_equiv_pos_as_xyz
'x,y,z'
loop_
_atom_site_label
_atom_site_fract_x
_atom_site_fract_y
_atom_site_fract_z
_atom_site_occupancy
Cs1 0.250 0.250 0.250 1
Cs2 0.750 0.750 0.750 1
I1 0.237 0.237 0.763 1
I2 0.763 0.237 0.763 1
I3 0.237 0.763 0.763 1
I4 0.237 0.763 0.237 1
I5 0.763 0.237 0.237 1
I6 0.763 0.763 0.237 1
Hg1 0.500 0.500 0.500 1
Sc1 0.000 0.000 0.000 1

***

[15]
# Ba6Sr3Cd (PBE, relaxed)
# Energy of formation from the pure elements   -0.07 eV/f.u.
# Electronic total energy   -35.138 eV per cell
data_Ba6Sr3Cd
_chemical_formula_sum 'Ba12 Sr6 Cd2'
_symmetry_space_group_name_H-M 'P 1'
_symmetry_Int_Tables_number 1
_cell_length_a 6.749
_cell_length_b 11.316
_cell_length_c 15.135
_cell_angle_alpha 107.59
_cell_angle_beta 90.00
_cell_angle_gamma 90.00
loop_
_symmetry_equiv_pos_as_xyz
'x,y,z'
loop_
_atom_site_label
_atom_site_fract_x
_atom_site_fract_y
_atom_site_fract_z
_atom_site_occupancy
Sr1 0.250 0.563 0.232 1
Sr2 0.750 0.149 0.880 1
Sr3 0.250 0.851 0.120 1
Sr4 0.750 0.832 0.299 1
Sr5 0.750 0.437 0.768 1
Sr6 0.250 0.168 0.701 1
Ba1 0.250 0.831 0.789 1
Ba2 0.250 0.189 0.047 1
Ba3 0.250 0.474 0.595 1
Ba4 0.750 0.497 0.077 1
Ba5 0.750 0.238 0.503 1
Ba6 0.750 0.169 0.211 1
Ba7 0.250 0.762 0.497 1
Ba8 0.750 0.526 0.405 1
Ba9 0.750 0.939 0.608 1
Ba10 0.750 0.811 0.953 1
Ba11 0.250 0.503 0.923 1
Ba12 0.250 0.061 0.392 1
Cd1 0.750 0.655 0.656 1
Cd2 0.250 0.345 0.344 1

***

[16]
# CsCd4F8 (PBE, relaxed)
# Electronic total energy   -47.243 eV per cell
# Formation energy (no corrections)   -2135 meV/atom
data_CsCd4F8
_chemical_formula_sum 'Cs1 Cd4 F8'
_symmetry_space_group_name_H-M 'P 1'
_symmetry_Int_Tables_number 1
_cell_length_a 7.064
_cell_length_b 7.064
_cell_length_c 8.218
_cell_angle_alpha 64.54
_cell_angle_beta 64.54
_cell_angle_gamma 60.00
loop_
_symmetry_equiv_pos_as_xyz
'x,y,z'
loop_
_atom_site_label
_atom_site_fract_x
_atom_site_fract_y
_atom_site_fract_z
_atom_site_occupancy
F1 0.717 0.222 0.839 1
F2 0.778 0.283 0.161 1
F3 0.222 0.222 0.839 1
F4 0.283 0.283 0.152 1
F5 0.778 0.778 0.161 1
F6 0.222 0.717 0.839 1
F7 0.717 0.717 0.848 1
F8 0.283 0.778 0.161 1
Cd1 0.000 0.500 0.000 1
Cd2 0.500 0.000 0.000 1
Cd3 0.500 0.500 0.000 1
Cd4 0.000 0.000 0.000 1
Cs1 0.500 0.500 0.500 1